Record 1
Below is a relaxed AcPuTh2N4 crystal, with properties calculated at the PBE-GGA level.

Energy relative to the elements, uncorrected   -1331 meV/atom
D(E_F)   9.12 states/eV/cell
SG   No. 10

Cell lengths 6.408, 3.696, 6.417 Å; angles 90.00, 109.81, 90.00 degrees
Atoms (fractional coordinates):
Ac 0.000 0.000 0.000
Pu 0.500 0.500 0.000
Th 0.000 0.500 0.500
Th 0.500 0.000 0.500
N 0.257 0.000 0.738
N 0.264 0.500 0.280
N 0.736 0.500 0.720
N 0.743 0.000 0.262


Record 2
Below is a relaxed Dy4Er2Zr crystal, with properties calculated at the PBE-GGA level.

Formation energy   0.916 kcal/mol of atoms
D(E_F)   9.33 states/eV/cell
SG   No. 8

Cell lengths 3.506, 3.506, 19.624 Å; angles 90.00, 90.00, 60.00 degrees
Atoms (fractional coordinates):
Dy 0.000 0.000 0.000
Dy 0.000 0.000 0.266
Dy 0.667 0.667 0.849
Dy 0.668 0.668 0.560
Er 0.334 0.334 0.415
Er 0.334 0.334 0.705
Zr 0.333 0.333 0.134


Record 3
Below is a relaxed Li8PrZn4 crystal, with properties calculated at the PBE-GGA level.

Formation energy   -2.919 kcal/mol of atoms
D(E_F)   5.82 states/eV/cell
SG   No. 139

Cell lengths 7.161, 7.161, 7.161 Å; angles 97.81, 97.81, 136.73 degrees
Atoms (fractional coordinates):
Li 0.000 0.224 0.224
Li 0.000 0.776 0.776
Li 0.151 0.500 0.651
Li 0.224 0.000 0.224
Li 0.500 0.151 0.651
Li 0.500 0.849 0.349
Li 0.776 0.000 0.776
Li 0.849 0.500 0.349
Pr 0.500 0.500 0.000
Zn 0.000 0.000 0.500
Zn 0.000 0.500 0.000
Zn 0.500 0.000 0.000
Zn 0.500 0.500 0.500


Record 4
Below is a relaxed Tb5CoPb4 crystal, with properties calculated at the PBE-GGA level.

Formation energy   -6.162 kcal/mol of atoms
D(E_F)   8.57 states/eV/cell
SG   No. 87

Cell lengths 7.708, 7.708, 7.708 Å; angles 97.28, 97.28, 138.29 degrees
Atoms (fractional coordinates):
Tb 0.000 0.000 0.000
Tb 0.322 0.677 0.999
Tb 0.323 0.322 0.645
Tb 0.677 0.678 0.355
Tb 0.678 0.323 0.001
Co 0.500 0.500 0.000
Pb 0.000 0.325 0.326
Pb 0.000 0.675 0.674
Pb 0.325 0.000 0.325
Pb 0.675 0.000 0.675


Record 5
Below is a relaxed Ac4Nd6Sm crystal, with properties calculated at the PBE-GGA level.

Formation energy   5.673 kcal/mol of atoms
D(E_F)   16.72 states/eV/cell
SG   No. 121

Cell lengths 9.811, 9.811, 9.811 Å; angles 136.80, 136.80, 62.75 degrees
Atoms (fractional coordinates):
Ac 0.014 0.626 0.000
Ac 0.374 0.374 0.388
Ac 0.626 0.014 0.000
Ac 0.986 0.986 0.612
Nd 0.000 0.500 0.500
Nd 0.230 0.230 0.664
Nd 0.434 0.770 0.000
Nd 0.500 0.000 0.500
Nd 0.566 0.566 0.336
Nd 0.770 0.434 0.000
Sm 0.000 0.000 0.000


Record 6
Below is a relaxed RhS2BrN crystal, with properties calculated at the PBE-GGA level.

Energy relative to the elements, uncorrected   789 meV/atom
D(E_F)   3.65 states/eV/cell
SG   No. 123

Cell lengths 4.921, 4.921, 3.674 Å; angles 90.00, 90.00, 90.00 degrees
Atoms (fractional coordinates):
Rh 0.000 0.000 0.000
S 0.000 0.500 0.000
S 0.500 0.000 0.000
Br 0.500 0.500 0.500
N 0.000 0.000 0.500


Record 7
Below is a relaxed Na2Sn2Pb crystal, with properties calculated at the PBE-GGA level.

Formation energy   -2.867 kcal/mol of atoms
D(E_F)   3.43 states/eV/cell
SG   No. 15

Cell lengths 6.466, 6.466, 8.918 Å; angles 111.33, 111.33, 55.14 degrees
Atoms (fractional coordinates):
Na 0.039 0.355 0.148
Na 0.355 0.039 0.648
Na 0.645 0.961 0.352
Na 0.961 0.645 0.852
Sn 0.227 0.577 0.557
Sn 0.423 0.773 0.943
Sn 0.577 0.227 0.057
Sn 0.773 0.423 0.443
Pb 0.188 0.812 0.250
Pb 0.812 0.188 0.750


Record 8
Below is a relaxed SbAs2Se crystal, with properties calculated at the PBE-GGA level.

Energy relative to the elements, uncorrected   323 meV/atom
D(E_F)   2.37 states/eV/cell
SG   No. 216

Cell lengths 4.942, 4.942, 4.942 Å; angles 60.00, 60.00, 60.00 degrees
Atoms (fractional coordinates):
Sb 0.000 0.000 0.000
As 0.500 0.500 0.500
As 0.750 0.750 0.750
Se 0.250 0.250 0.250


Number 1: VASP energy -77.23 eV/cell, M_tot 5.64 μB per cell. Number 2: VASP energy -35.80 eV/cell, M_tot 0.00 μB per cell. Number 3: VASP energy -26.83 eV/cell, M_tot 0.00 μB per cell. Number 4: VASP energy -47.76 eV/cell, M_tot 0.00 μB per cell. Number 5: VASP energy -47.05 eV/cell, M_tot 0.00 μB per cell. Number 6: VASP energy -21.66 eV/cell, M_tot 0.00 μB per cell. Number 7: VASP energy -29.95 eV/cell, M_tot 0.00 μB per cell. Number 8: VASP energy -15.61 eV/cell, M_tot 0.00 μB per cell.